CaGa11Pt after structural relaxation. Source: Alexandria via LeMat-Bulk, functional PBE-GGA.

a = 5.3174 Å, b = 7.6830 Å, c = 6.8230 Å
α = 85.16°, β = 67.07°, γ = 77.48°
Fractional positions:
Ga1 0.7397 0.7717 0.7859
Ga2 0.6198 0.3633 0.3506
Ga3 0.0000 0.0000 0.5000
Ga4 0.4744 0.2283 0.7859
Ga5 0.5256 0.7717 0.2141
Ga6 0.0000 0.5000 0.0000
Ga7 0.9704 0.3633 0.6494
Ga8 0.2603 0.2283 0.2141
Ga9 0.3802 0.6367 0.6494
Ga10 0.0296 0.6367 0.3506
Ga11 0.5000 0.0000 0.5000
Pt1 0.5000 0.5000 0.0000
Ca1 0.0000 0.0000 0.0000

space group = No. 12
formation enthalpy at 0 K = -0.191 eV/atom
electronic total energy = -43.82 eV for the cell shown
Fermi-level density of states = 4.78 states/eV/cell

---

Ca2Ga6Pt after structural relaxation. Source: Alexandria via LeMat-Bulk, functional PBE-GGA.

a = 5.8604 Å, b = 5.8896 Å, c = 5.8896 Å
α = 60.00°, β = 89.98°, γ = 89.98°
Fractional positions:
Ga1 0.3298 0.8255 0.8255
Ga2 0.6710 0.6511 0.1748
Ga3 0.6702 0.1745 0.1745
Ga4 0.3290 0.3489 0.8252
Ga5 0.3290 0.8252 0.3489
Ga6 0.6710 0.1748 0.6511
Ca1 0.8570 0.6667 0.6667
Ca2 0.1430 0.3333 0.3333
Pt1 0.0000 0.0000 0.0000

space group = No. 164
formation enthalpy at 0 K = -0.538 eV/atom
electronic total energy = -33.05 eV for the cell shown
Fermi-level density of states = 3.84 states/eV/cell

---

Ca2Ga2Pt after structural relaxation. Source: Alexandria via LeMat-Bulk, functional PBE-GGA.

a = 3.9039 Å, b = 4.2670 Å, c = 7.2030 Å
α = 107.23°, β = 90.00°, γ = 90.00°
Fractional positions:
Ca1 0.0000 0.6828 0.3656
Ca2 0.0000 0.9365 0.8729
Ga1 0.5000 0.3038 0.6077
Ga2 0.5000 0.5071 0.0142
Pt1 0.5000 0.1119 0.2238

space group = No. 38
excess energy over the best structure of this formula in the dataset = 5.88 kJ/mol of atoms
formation enthalpy at 0 K = -0.673 eV/atom
electronic total energy = -19.46 eV for the cell shown
Fermi-level density of states = 2.31 states/eV/cell

---

Ca8Ga2Pt after structural relaxation. Source: Alexandria via LeMat-Bulk, functional PBE-GGA.

a = 5.2551 Å, b = 7.1240 Å, c = 9.6249 Å
α = 106.72°, β = 105.84°, γ = 90.00°
Fractional positions:
Ca1 0.0284 0.7967 0.0569
Ca2 0.4057 0.5702 0.8115
Ca3 0.6578 0.9588 0.3156
Ca4 0.5943 0.4298 0.1885
Ca5 0.9716 0.2033 0.9431
Ca6 0.2087 0.3064 0.4174
Ca7 0.3422 0.0412 0.6844
Ca8 0.7913 0.6936 0.5826
Ga1 0.8167 0.2880 0.6334
Ga2 0.1833 0.7120 0.3666
Pt1 0.5000 0.0000 0.0000

space group = No. 12
excess energy over the best structure of this formula in the dataset = 0.00 kJ/mol of atoms
formation enthalpy at 0 K = -0.389 eV/atom
electronic total energy = -32.38 eV for the cell shown
Fermi-level density of states = 9.54 states/eV/cell

---

CaGaPt3 after structural relaxation. Source: Alexandria via LeMat-Bulk, functional PBE-GGA.

a = 4.7180 Å, b = 4.7180 Å, c = 4.7180 Å
α = 90.00°, β = 90.00°, γ = 90.00°
Fractional positions:
Pt1 0.5000 0.0000 0.0000
Pt2 0.0000 0.5000 0.0000
Pt3 0.0000 0.0000 0.5000
Ga1 0.0000 0.0000 0.0000
Ca1 0.5000 0.5000 0.5000

space group = No. 221
formation enthalpy at 0 K = -0.283 eV/atom
electronic total energy = -24.57 eV for the cell shown
Fermi-level density of states = 3.39 states/eV/cell

---

CaGaPt2 after structural relaxation. Source: Alexandria via LeMat-Bulk, functional PBE-GGA.

a = 4.6519 Å, b = 4.6519 Å, c = 4.6519 Å
α = 60.00°, β = 60.00°, γ = 60.00°
Fractional positions:
Ca1 0.0000 0.0000 0.0000
Pt1 0.2500 0.2500 0.2500
Pt2 0.7500 0.7500 0.7500
Ga1 0.5000 0.5000 0.5000

space group = No. 225
formation enthalpy at 0 K = -0.618 eV/atom
electronic total energy = -19.58 eV for the cell shown
Fermi-level density of states = 2.07 states/eV/cell

---

Ca3Ga5Pt6 after structural relaxation. Source: Alexandria via LeMat-Bulk, functional PBE-GGA.

a = 4.0936 Å, b = 10.1374 Å, c = 12.9017 Å
α = 90.00°, β = 90.00°, γ = 90.00°
Fractional positions:
Pt1 0.5000 0.3934 0.8048
Pt2 0.0000 0.9841 0.5000
Pt3 0.5000 0.5137 0.0000
Pt4 0.0000 0.6066 0.3048
Pt5 0.0000 0.4863 0.5000
Pt6 0.5000 0.3934 0.1952
Pt7 0.0000 0.6066 0.6952
Pt8 0.5000 0.0159 0.0000
Pt9 0.0000 0.0028 0.8325
Pt10 0.0000 0.0028 0.1675
Pt11 0.5000 0.9972 0.6675
Pt12 0.5000 0.9972 0.3325
Ca1 0.0000 0.2510 0.6644
Ca2 0.5000 0.7490 0.8356
Ca3 0.0000 0.2602 0.0000
Ca4 0.5000 0.7398 0.5000
Ca5 0.0000 0.2510 0.3356
Ca6 0.5000 0.7490 0.1644
Ga1 0.5000 0.4771 0.6222
Ga2 0.5000 0.1514 0.8299
Ga3 0.0000 0.5229 0.8778
Ga4 0.5000 0.1342 0.5000
Ga5 0.0000 0.8658 0.0000
Ga6 0.0000 0.8486 0.6701
Ga7 0.5000 0.1514 0.1701
Ga8 0.0000 0.5229 0.1222
Ga9 0.0000 0.8486 0.3299
Ga10 0.5000 0.4771 0.3778

space group = No. 59
formation enthalpy at 0 K = -0.841 eV/atom
electronic total energy = -138.31 eV for the cell shown
Fermi-level density of states = 12.01 states/eV/cell

---

CaGa2Pt6 after structural relaxation. Source: Alexandria via LeMat-Bulk, functional PBE-GGA.

a = 7.9888 Å, b = 7.9888 Å, c = 7.9888 Å
α = 60.00°, β = 60.00°, γ = 60.00°
Fractional positions:
Ca1 0.5000 0.5000 0.5000
Ca2 0.7500 0.7500 0.7500
Pt1 0.7477 0.2523 0.7477
Pt2 0.5023 0.9977 0.5023
Pt3 0.7477 0.2523 0.2523
Pt4 0.5023 0.5023 0.9977
Pt5 0.2523 0.7477 0.2523
Pt6 0.7477 0.7477 0.2523
Pt7 0.2523 0.2523 0.7477
Pt8 0.9977 0.5023 0.9977
Pt9 0.2523 0.7477 0.7477
Pt10 0.9977 0.9977 0.5023
Pt11 0.9977 0.5023 0.5023
Pt12 0.5023 0.9977 0.9977
Ga1 0.6250 0.1250 0.1250
Ga2 0.1250 0.1250 0.6250
Ga3 0.1250 0.1250 0.1250
Ga4 0.1250 0.6250 0.1250

space group = No. 227
formation enthalpy at 0 K = -0.298 eV/atom
electronic total energy = -93.96 eV for the cell shown
Fermi-level density of states = 7.75 states/eV/cell

---

Ca3Ga7Pt2 after structural relaxation. Source: Alexandria via LeMat-Bulk, functional PBE-GGA.

a = 4.4287 Å, b = 4.5480 Å, c = 13.9985 Å
α = 99.35°, β = 90.00°, γ = 90.00°
Fractional positions:
Ga1 0.0000 0.1930 0.3859
Ga2 0.5000 0.1236 0.2473
Ga3 0.0000 0.6221 0.2441
Ga4 0.0000 0.0000 0.0000
Ga5 0.0000 0.3779 0.7559
Ga6 0.0000 0.8070 0.6141
Ga7 0.5000 0.8764 0.7527
Ca1 0.5000 0.5000 0.0000
Ca2 0.5000 0.2961 0.5923
Ca3 0.5000 0.7039 0.4077
Pt1 0.0000 0.0838 0.1676
Pt2 0.0000 0.9162 0.8324

space group = No. 65
formation enthalpy at 0 K = -0.358 eV/atom
electronic total energy = -43.57 eV for the cell shown
Fermi-level density of states = 6.49 states/eV/cell

---

Ca2GaPt3 after structural relaxation. Source: Alexandria via LeMat-Bulk, functional PBE-GGA.

a = 5.2767 Å, b = 5.2767 Å, c = 5.2767 Å
α = 64.41°, β = 64.41°, γ = 64.41°
Fractional positions:
Ca1 0.6250 0.6250 0.6250
Ca2 0.3750 0.3750 0.3750
Pt1 0.0000 0.5000 0.0000
Pt2 0.5000 0.0000 0.0000
Pt3 0.0000 0.0000 0.5000
Ga1 0.0000 0.0000 0.0000

space group = No. 166
excess energy over the best structure of this formula in the dataset = 0.00 kJ/mol of atoms
formation enthalpy at 0 K = -0.978 eV/atom
electronic total energy = -31.02 eV for the cell shown
Fermi-level density of states = 3.24 states/eV/cell

---

Ca2Ga4Pt5 after structural relaxation. Source: Alexandria via LeMat-Bulk, functional PBE-GGA.

a = 5.6647 Å, b = 5.5935 Å, c = 8.2692 Å
α = 80.01°, β = 69.97°, γ = 59.58°
Fractional positions:
Ga1 0.5277 0.6846 0.2601
Ga2 0.2123 0.3154 0.2601
Ga3 0.7877 0.6846 0.7399
Ga4 0.4723 0.3154 0.7399
Ca1 0.1222 0.0000 0.7556
Ca2 0.8778 0.0000 0.2444
Pt1 0.5000 0.5000 0.0000
Pt2 0.0000 0.5000 0.0000
Pt3 0.2500 0.5000 0.5000
Pt4 0.7500 0.5000 0.5000
Pt5 0.5000 0.0000 0.0000

space group = No. 69
formation enthalpy at 0 K = -0.838 eV/atom
electronic total energy = -55.53 eV for the cell shown
Fermi-level density of states = 4.55 states/eV/cell

---

Ca2Ga2Pt after structural relaxation. Source: Alexandria via LeMat-Bulk, functional PBE-GGA.

a = 6.8472 Å, b = 6.8472 Å, c = 4.6824 Å
α = 90.00°, β = 90.00°, γ = 90.00°
Fractional positions:
Ca1 0.3202 0.1798 0.5000
Ca2 0.1798 0.6798 0.5000
Ca3 0.8202 0.3202 0.5000
Ca4 0.6798 0.8202 0.5000
Pt1 0.0000 0.0000 0.0000
Pt2 0.5000 0.5000 0.0000
Ga1 0.6319 0.1319 0.0000
Ga2 0.1319 0.3681 0.0000
Ga3 0.8681 0.6319 0.0000
Ga4 0.3681 0.8681 0.0000

space group = No. 127
excess energy over the best structure of this formula in the dataset = 10.83 kJ/mol of atoms
formation enthalpy at 0 K = -0.622 eV/atom
electronic total energy = -38.41 eV for the cell shown
Fermi-level density of states = 7.51 states/eV/cell